(1)
The following is a DFT calculation (PBE) of a relaxed Tm3Ge crystal.

Output
DFT formation energy = -0.557 eV per formula unit
Density of states at the Fermi level = 5.16 states/eV/f.u.

Cell: 3.954 3.953 7.367 Å, 90.00 90.00 90.00°
Each line ends with the local moment (μB).
Atoms (fractional coordinates):
Tm (0.000, 0.500, 0.439)  0.11
Tm (0.500, 0.000, 0.728)  0.10
Tm (0.500, 0.500, 0.083)  0.06
Ge (0.000, 0.000, 0.083)  0.00

---

(2)
The following is a DFT calculation (PBE) of a relaxed K2ZrRh crystal.

Output
DFT formation energy = 3.272 eV per formula unit
Offset from the most stable computed form = 704 meV per atom
Density of states at the Fermi level = 4.07 states/eV/f.u.

Cell: 3.119 6.021 5.558 Å, 90.00 90.00 90.00°
Each line ends with the local moment (μB).
Atoms (fractional coordinates):
Zr (0.500, 0.500, 0.750)  0.37
K (0.000, 0.000, 0.008)  0.04
K (0.000, 0.000, 0.492)  0.04
Rh (0.500, 0.500, 0.250)  0.04

---

(3)
The following is a DFT calculation (PBE) of a relaxed SbW2SCl crystal.

Output
DFT total energy = -25.0 eV per formula unit
Density of states at the Fermi level = 5.84 states/eV/f.u.

Cell: 5.330 5.042 5.330 Å, 90.00 90.00 90.00°
Each line ends with the local moment (μB).
Atoms (fractional coordinates):
S (0.000, 0.500, 0.000)  -0.09
W (0.000, 0.000, 0.500)  2.86
W (0.500, 0.000, 0.000)  2.61
Sb (0.000, 0.000, 0.000)  -0.06
Cl (0.500, 0.500, 0.500)  0.14